No. 1
Material: Dy3HoEr3Se8
Method: DFT, PBE
State: optimized geometry

Lattice parameters (Å, degrees): 8.0808 8.0806 8.0880 119.97 90.00 120.00
Fractional coordinates of all 15 atoms:
Se: 0.2558 0.0022 0.2487
Se: 0.7465 0.4929 0.2487
Se: 0.7489 0.4978 0.7467
Se: 0.7442 0.9978 0.7513
Se: 0.2535 0.9978 0.7513
Se: 0.2511 0.5022 0.2533
Se: 0.2535 0.5071 0.7513
Se: 0.7465 0.0022 0.2487
Er: 0.0000 0.5000 0.5000
Er: 0.5000 0.5000 0.5000
Er: 0.5000 0.0000 0.5000
Dy: 0.0000 0.5000 0.0000
Dy: 0.0000 0.0000 0.0000
Dy: 0.5000 0.5000 0.0000
Ho: 0.0000 0.0000 0.5000

Size of the total moment, μB per atom: 0.000
Volume, Å³/f.u.: 374
ΔE_f (raw), eV/f.u.: -27.20

=====

No. 2
Material: SmDy2HoEr
Method: DFT, PBE
State: optimized geometry

Lattice parameters (Å, degrees): 7.1828 8.3576 7.0710 126.23 90.00 90.00
Fractional coordinates of all 10 atoms:
Sm: 0.2500 0.7262 0.4525
Sm: 0.7500 0.2738 0.5475
Dy: 0.0000 0.3093 0.0000
Dy: 0.5000 0.6907 0.0000
Dy: 0.0000 0.6907 0.0000
Dy: 0.5000 0.3093 0.0000
Er: 0.2500 0.2761 0.5523
Er: 0.7500 0.7239 0.4477
Ho: 0.2500 0.9978 0.9957
Ho: 0.7500 0.0022 0.0043

Size of the total moment, μB per atom: 0.000
Volume, Å³/f.u.: 171
Energy relative to the elements, meV/atom: 398

=====

No. 3
Material: SmDyHo2Er
Method: DFT, PBE
State: optimized geometry

Lattice parameters (Å, degrees): 7.1771 8.3522 7.0653 126.23 90.00 90.00
Fractional coordinates of all 10 atoms:
Ho: 0.5000 0.6898 0.0000
Ho: 0.5000 0.3102 0.0000
Ho: 0.0000 0.3102 0.0000
Ho: 0.0000 0.6898 0.0000
Dy: 0.7500 0.0012 0.0023
Dy: 0.2500 0.9988 0.9977
Er: 0.2500 0.2775 0.5550
Er: 0.7500 0.7225 0.4450
Sm: 0.7500 0.2734 0.5467
Sm: 0.2500 0.7266 0.4533

Size of the total moment, μB per atom: 0.000
Volume, Å³/f.u.: 171
Energy relative to the elements, meV/atom: 398

=====

No. 4
Material: Sm3Dy6HoEr2
Method: DFT, PBE
State: optimized geometry

Lattice parameters (Å, degrees): 6.1565 6.1565 11.7762 94.98 94.98 119.97
Fractional coordinates of all 12 atoms:
Er: 0.3334 0.6666 0.0000
Er: 0.6666 0.3334 0.0000
Sm: 0.1668 0.8332 0.5000
Sm: 0.8332 0.1668 0.5000
Sm: 0.5000 0.5000 0.5000
Dy: 0.9175 0.5840 0.7532
Dy: 0.4160 0.0825 0.2468
Dy: 0.7491 0.7491 0.2468
Dy: 0.2509 0.2509 0.7532
Dy: 0.0825 0.4160 0.2468
Dy: 0.5840 0.9175 0.7532
Ho: 0.0000 0.0000 0.0000

Size of the total moment, μB per atom: 0.000
Volume, Å³/f.u.: 381
Energy relative to the elements, meV/atom: 17

=====

No. 5
Material: Sm3DyHoEr
Method: DFT, PBE
State: optimized geometry

Lattice parameters (Å, degrees): 3.5831 9.4974 11.5749 90.00 90.00 100.87
Fractional coordinates of all 12 atoms:
Dy: 0.0000 0.0000 0.0000
Dy: 0.0000 0.0000 0.5000
Er: 0.7784 0.5567 0.7500
Er: 0.2216 0.4433 0.2500
Ho: 0.4436 0.8872 0.7500
Ho: 0.5564 0.1128 0.2500
Sm: 0.1105 0.2211 0.7500
Sm: 0.3337 0.6674 0.9975
Sm: 0.8895 0.7789 0.2500
Sm: 0.6663 0.3326 0.0025
Sm: 0.3337 0.6674 0.5025
Sm: 0.6663 0.3326 0.4975

Size of the total moment, μB per atom: 0.000
Volume, Å³/f.u.: 193
Energy relative to the elements, meV/atom: 1

=====

No. 6
Material: SmDyHoEr3
Method: DFT, PBE
State: optimized geometry

Lattice parameters (Å, degrees): 5.6880 9.7272 7.2121 89.99 90.00 107.01
Fractional coordinates of all 12 atoms:
Er: 0.8307 0.6613 0.2492
Er: 0.1693 0.3387 0.7508
Er: 0.7828 0.5661 0.7506
Er: 0.5235 0.0462 0.7504
Er: 0.4765 0.9538 0.2496
Er: 0.2172 0.4339 0.2494
Dy: 0.3514 0.7033 0.5391
Dy: 0.6486 0.2967 0.4609
Ho: 0.6486 0.2969 0.0395
Ho: 0.3514 0.7031 0.9605
Sm: 0.9591 0.9170 0.7507
Sm: 0.0409 0.0830 0.2493

Size of the total moment, μB per atom: 0.000
Volume, Å³/f.u.: 191
Energy relative to the elements, meV/atom: 204

=====

No. 7
Material: Sm2Dy2HoEr4
Method: DFT, PBE
State: optimized geometry

Lattice parameters (Å, degrees): 3.5719 9.4449 9.4957 115.24 90.00 100.90
Fractional coordinates of all 9 atoms:
Dy: 0.1474 0.2947 0.6633
Dy: 0.8526 0.7053 0.3367
Er: 0.8147 0.6293 0.6643
Er: 0.5192 0.0385 0.3346
Er: 0.4808 0.9615 0.6654
Er: 0.1853 0.3707 0.3357
Sm: 0.3342 0.6684 0.0000
Sm: 0.6658 0.3316 0.0000
Ho: 0.0000 0.0000 0.0000

Size of the total moment, μB per atom: 0.000
Volume, Å³/f.u.: 283
Energy relative to the elements, meV/atom: -3

=====

No. 8
Material: Sm2Dy4HoEr
Method: DFT, PBE
State: optimized geometry

Lattice parameters (Å, degrees): 9.4876 9.4876 11.7664 128.32 128.32 88.56
Last column: magnetic moment on the atom in μB.
Fractional coordinates of all 16 atoms:
Ho: 0.0000 0.5000 0.0000  0.31
Ho: 0.0000 0.5000 0.5000  0.31
Sm: 0.5000 0.0000 0.0000  0.28
Sm: 0.5000 0.5000 0.0000  0.26
Sm: 0.0000 0.0000 0.5000  0.26
Sm: 0.5000 0.0000 0.5000  0.28
Er: 0.0000 0.0000 0.0000  0.32
Er: 0.5000 0.5000 0.5000  0.32
Dy: 0.2503 0.2539 0.0049  0.33
Dy: 0.2461 0.2497 0.4951  0.33
Dy: 0.7539 0.7503 0.5049  0.33
Dy: 0.7497 0.7461 0.9951  0.33
Dy: 0.2457 0.7518 0.9989  0.33
Dy: 0.2518 0.7457 0.4989  0.33
Dy: 0.7543 0.2482 0.0011  0.33
Dy: 0.7482 0.2543 0.5011  0.33

Size of the total moment, μB per atom: 0.428
Volume, Å³/f.u.: 265
Energy relative to the elements, meV/atom: 434

=====

No. 9
Material: Sm2DyHoEr2
Method: DFT, PBE
State: optimized geometry

Lattice parameters (Å, degrees): 3.3729 6.5242 17.8693 90.00 90.00 90.00
Fractional coordinates of all 12 atoms:
Er: 0.5000 0.2260 0.6458
Er: 0.0000 0.2740 0.1458
Er: 0.5000 0.7740 0.3542
Er: 0.0000 0.7260 0.8542
Sm: 0.0000 0.7718 0.1861
Sm: 0.0000 0.2282 0.8139
Sm: 0.5000 0.7282 0.6861
Sm: 0.5000 0.2718 0.3139
Ho: 0.5000 0.5000 0.5000
Ho: 0.0000 0.0000 0.0000
Dy: 0.0000 0.0000 0.5000
Dy: 0.5000 0.5000 0.0000

Size of the total moment, μB per atom: 0.000
Volume, Å³/f.u.: 197
Energy relative to the elements, meV/atom: 273

=====

No. 10
Material: Sm2DyHo6Er
Method: DFT, PBE
State: optimized geometry

Lattice parameters (Å, degrees): 9.6023 8.7299 8.7299 118.08 94.43 94.43
Fractional coordinates of all 20 atoms:
Ho: 0.1196 0.7083 0.4968
Ho: 0.5568 0.7468 0.1249
Ho: 0.3137 0.9795 0.4264
Ho: 0.8137 0.4264 0.9795
Ho: 0.6196 0.4968 0.7083
Ho: 0.0568 0.1249 0.7468
Ho: 0.9432 0.8751 0.2532
Ho: 0.1863 0.5736 0.0205
Ho: 0.6863 0.0205 0.5736
Ho: 0.4432 0.2532 0.8751
Ho: 0.8804 0.2917 0.5032
Ho: 0.3804 0.5032 0.2917
Dy: 0.7500 0.0199 0.9801
Dy: 0.2500 0.9801 0.0199
Sm: 0.4570 0.8051 0.7013
Sm: 0.9570 0.7013 0.8051
Sm: 0.5430 0.1949 0.2987
Sm: 0.0430 0.2987 0.1949
Er: 0.2500 0.4075 0.5925
Er: 0.7500 0.5925 0.4075

Size of the total moment, μB per atom: 0.000
Volume, Å³/f.u.: 319
Energy relative to the elements, meV/atom: 118

=====

No. 11
Material: Sm3DyHo6Er2
Method: DFT, PBE
State: optimized geometry

Lattice parameters (Å, degrees): 6.1450 6.1450 11.7432 94.99 94.99 119.96
Fractional coordinates of all 12 atoms:
Sm: 0.5000 0.5000 0.5000
Sm: 0.1668 0.8332 0.5000
Sm: 0.8332 0.1668 0.5000
Er: 0.3332 0.6668 0.0000
Er: 0.6668 0.3332 0.0000
Ho: 0.5840 0.9176 0.7529
Ho: 0.2512 0.2512 0.7529
Ho: 0.4160 0.0824 0.2471
Ho: 0.7488 0.7488 0.2471
Ho: 0.9176 0.5840 0.7529
Ho: 0.0824 0.4160 0.2471
Dy: 0.0000 0.0000 0.0000

Size of the total moment, μB per atom: 0.000
Volume, Å³/f.u.: 378
Energy relative to the elements, meV/atom: 18

=====

No. 12
Material: Sm6DyHo2Er
Method: DFT, PBE
State: optimized geometry

Lattice parameters (Å, degrees): 9.5816 8.8679 8.8679 117.83 93.83 93.83
Fractional coordinates of all 20 atoms:
Er: 0.7500 0.5898 0.4102
Er: 0.2500 0.4102 0.5898
Sm: 0.8811 0.2911 0.5077
Sm: 0.3811 0.5077 0.2911
Sm: 0.5546 0.7591 0.1199
Sm: 0.1189 0.7089 0.4923
Sm: 0.9454 0.8801 0.2409
Sm: 0.8137 0.4342 0.9869
Sm: 0.6863 0.0131 0.5658
Sm: 0.4454 0.2409 0.8801
Sm: 0.1863 0.5658 0.0131
Sm: 0.3137 0.9869 0.4342
Sm: 0.0546 0.1199 0.7591
Sm: 0.6189 0.4923 0.7089
Ho: 0.9548 0.6991 0.7998
Ho: 0.0452 0.3009 0.2002
Ho: 0.5452 0.2002 0.3009
Ho: 0.4548 0.7998 0.6991
Dy: 0.2500 0.9738 0.0262
Dy: 0.7500 0.0262 0.9738

Size of the total moment, μB per atom: 0.000
Volume, Å³/f.u.: 330
Energy relative to the elements, meV/atom: 119

=====

No. 13
Material: Sm2Dy6HoEr3
Method: DFT, PBE
State: optimized geometry

Lattice parameters (Å, degrees): 6.1359 6.1359 11.7448 94.97 94.97 119.95
Fractional coordinates of all 12 atoms:
Er: 0.5000 0.5000 0.5000
Er: 0.8335 0.1665 0.5000
Er: 0.1665 0.8335 0.5000
Dy: 0.7521 0.7521 0.2526
Dy: 0.2479 0.2479 0.7474
Dy: 0.4177 0.0849 0.2525
Dy: 0.0849 0.4177 0.2525
Dy: 0.5823 0.9151 0.7475
Dy: 0.9151 0.5823 0.7475
Sm: 0.3334 0.6666 0.0000
Sm: 0.6666 0.3334 0.0000
Ho: 0.0000 0.0000 0.0000

Size of the total moment, μB per atom: 0.000
Volume, Å³/f.u.: 377
Energy relative to the elements, meV/atom: 18

=====

No. 14
Material: Sm2DyHo6Er3
Method: DFT, PBE
State: optimized geometry

Lattice parameters (Å, degrees): 6.1241 6.1241 11.7156 94.98 94.98 119.95
Fractional coordinates of all 12 atoms:
Ho: 0.4179 0.0850 0.2525
Ho: 0.0850 0.4179 0.2525
Ho: 0.2479 0.2479 0.7474
Ho: 0.5821 0.9150 0.7475
Ho: 0.7521 0.7521 0.2526
Ho: 0.9150 0.5821 0.7475
Sm: 0.3334 0.6666 0.0000
Sm: 0.6666 0.3334 0.0000
Er: 0.1665 0.8335 0.5000
Er: 0.8335 0.1665 0.5000
Er: 0.5000 0.5000 0.5000
Dy: 0.0000 0.0000 0.0000

Size of the total moment, μB per atom: 0.000
Volume, Å³/f.u.: 375
Energy relative to the elements, meV/atom: 19

=====

No. 15
Material: Sm2Dy2Ho2Er
Method: DFT, PBE
State: optimized geometry

Lattice parameters (Å, degrees): 5.6611 5.6611 8.7593 71.15 71.15 60.00
Fractional coordinates of all 7 atoms:
Dy: 0.2842 0.2842 0.1474
Dy: 0.7158 0.7158 0.8526
Er: 0.0000 0.0000 0.0000
Sm: 0.1390 0.1390 0.5830
Sm: 0.8610 0.8610 0.4170
Ho: 0.5737 0.5737 0.2788
Ho: 0.4263 0.4263 0.7212

Size of the total moment, μB per atom: 0.027
Volume, Å³/f.u.: 226
Energy relative to the elements, meV/atom: 144

=====

No. 16
Material: SmDy2Ho5Er
Method: DFT, PBE
State: optimized geometry

Lattice parameters (Å, degrees): 8.9234 8.9234 9.6190 117.64 117.64 90.00
Fractional coordinates of all 18 atoms:
Sm: 0.2500 0.2500 0.5000
Sm: 0.7500 0.7500 0.5000
Ho: 0.3375 0.8375 0.2643
Ho: 0.8375 0.9268 0.2643
Ho: 0.9268 0.4268 0.2643
Ho: 0.0000 0.0000 0.0000
Ho: 0.4268 0.3375 0.2643
Ho: 0.5000 0.5000 0.0000
Ho: 0.5732 0.6625 0.7357
Ho: 0.0732 0.5732 0.7357
Ho: 0.6625 0.1625 0.7357
Ho: 0.1625 0.0732 0.7357
Dy: 0.3878 0.8878 0.0000
Dy: 0.1122 0.3878 0.0000
Dy: 0.6122 0.1122 0.0000
Dy: 0.8878 0.6122 0.0000
Er: 0.2500 0.7500 0.5000
Er: 0.7500 0.2500 0.5000

Size of the total moment, μB per atom: 0.000
Volume, Å³/f.u.: 289
Energy relative to the elements, meV/atom: 298

=====

No. 17
Material: Sm2Dy3Ho6Er
Method: DFT, PBE
State: optimized geometry

Lattice parameters (Å, degrees): 6.1338 6.1338 11.7350 94.98 94.98 119.95
Fractional coordinates of all 12 atoms:
Dy: 0.1666 0.8334 0.5000
Dy: 0.8334 0.1666 0.5000
Dy: 0.5000 0.5000 0.5000
Er: 0.0000 0.0000 0.0000
Sm: 0.3334 0.6666 0.0000
Sm: 0.6666 0.3334 0.0000
Ho: 0.0842 0.4170 0.2513
Ho: 0.7516 0.7516 0.2515
Ho: 0.5830 0.9158 0.7487
Ho: 0.4170 0.0842 0.2513
Ho: 0.9158 0.5830 0.7487
Ho: 0.2484 0.2484 0.7485

Size of the total moment, μB per atom: 0.000
Volume, Å³/f.u.: 377
Energy relative to the elements, meV/atom: 17

=====

No. 18
Material: Sm2Dy6HoEr
Method: DFT, PBE
State: optimized geometry

Lattice parameters (Å, degrees): 9.6246 8.7550 8.7550 118.12 94.41 94.41
Fractional coordinates of all 20 atoms:
Er: 0.2500 0.4076 0.5924
Er: 0.7500 0.5924 0.4076
Dy: 0.1200 0.7089 0.4976
Dy: 0.6200 0.4976 0.7089
Dy: 0.4434 0.2518 0.8748
Dy: 0.9434 0.8748 0.2518
Dy: 0.8800 0.2911 0.5024
Dy: 0.8133 0.4260 0.9800
Dy: 0.3800 0.5024 0.2911
Dy: 0.0566 0.1252 0.7482
Dy: 0.3133 0.9800 0.4260
Dy: 0.1867 0.5740 0.0200
Dy: 0.5566 0.7482 0.1252
Dy: 0.6867 0.0200 0.5740
Sm: 0.5427 0.1952 0.2989
Sm: 0.4573 0.8048 0.7011
Sm: 0.0427 0.2989 0.1952
Sm: 0.9573 0.7011 0.8048
Ho: 0.2500 0.9801 0.0199
Ho: 0.7500 0.0199 0.9801

Size of the total moment, μB per atom: 0.000
Volume, Å³/f.u.: 322
Energy relative to the elements, meV/atom: 117

=====

No. 19
Material: Sm2Dy4Ho2Er
Method: DFT, PBE
State: optimized geometry

Lattice parameters (Å, degrees): 3.5850 9.4761 9.5285 115.25 90.00 100.90
Fractional coordinates of all 9 atoms:
Er: 0.0000 0.0000 0.0000
Ho: 0.6662 0.3324 0.0011
Ho: 0.3338 0.6676 0.9989
Sm: 0.8520 0.7040 0.3337
Sm: 0.1480 0.2960 0.6663
Dy: 0.5185 0.0370 0.3306
Dy: 0.1847 0.3695 0.3324
Dy: 0.8153 0.6305 0.6676
Dy: 0.4815 0.9630 0.6694

Size of the total moment, μB per atom: 0.000
Volume, Å³/f.u.: 286
Energy relative to the elements, meV/atom: 8